No. 1
BaTcW2: relaxed, GGA-PBE.

Output
formation energy from the elements: 1432.0 meV per atom
V: 28.37 Å³ per atom
relative energy among the computed polymorphs: 663.8 meV/atom
total DFT energy (no corrections): -8.12 eV/atom

abc: 5.1385 5.1385 17.1903
angles: 90.00 90.00 90.00
With the nearest neighbours (Å) after each atom.
Space group I4_1/amd (No. 141, origin choice 2)
Asymmetric unit:
Ba1 0.0000 0.2500 0.3750 (multiplicity 4)  8 W 3.59, 4 Tc 3.63
Tc1 0.0000 0.2500 0.8750 (multiplicity 4)  4 W 2.50
W1 0.0000 0.0000 0.0000 (multiplicity 8)  2 Tc 2.50, 2 W 2.57

---

No. 2
BaTcW2: relaxed, GGA-PBE.

Output
formation energy from the elements: 1270.3 meV per atom
V: 20.85 Å³ per atom
relative energy among the computed polymorphs: 502.1 meV/atom
total DFT energy (no corrections): -8.28 eV/atom

abc: 2.9908 5.3429 10.4388
angles: 90.00 90.00 90.00
With the nearest neighbours (Å) after each atom.
Space group Immm (No. 71)
Asymmetric unit:
Ba1 0.0000 0.0000 0.0000 (multiplicity 2)  2 Ba 2.99, 4 Tc 3.06
Tc1 0.0000 0.0000 0.5000 (multiplicity 2)  4 W 2.62
W1 0.0000 0.5000 0.2066 (multiplicity 4)  2 Tc 2.62

---

No. 3
BaTcW2: relaxed, GGA-PBE.

Output
formation energy from the elements: 1313.6 meV per atom
V: 21.14 Å³ per atom
relative energy among the computed polymorphs: 545.4 meV/atom
total DFT energy (no corrections): -8.24 eV/atom

abc: 3.0123 5.5605 10.0964
angles: 90.00 90.00 90.00
With the nearest neighbours (Å) after each atom.
Space group Imm2 (No. 44)
Asymmetric unit:
Ba1 0.0000 0.0000 0.0000 (multiplicity 2)  2 Ba 3.01, 6 W 3.16-3.33, 2 Tc 3.24
Tc1 0.0000 0.5000 0.7844 (multiplicity 2)  2 W 2.57
W1 0.0000 0.0000 0.4900 (multiplicity 2)  2 Tc 2.57, 2 W 2.65
W2 0.0000 0.5000 0.2054 (multiplicity 2)  2 W 2.65